# 1
Density functional theory data (GGA-PBE) for a geometry-optimized Y3GaPd3 structure.

```
14
Lattice="-1.7653 -3.4524 0.0348 3.0153 -3.6889 3.0362 -7.6799 1.8766 12.6409" Properties=species:S:1:pos:R:3 pbc="T T T"
Ga -2.3538 -3.0443 10.6672
Ga -4.0760 -2.2204 5.0447
Pd -1.0800 -5.9265 5.3978
Pd -5.3499 0.6618 10.3141
Pd -3.1461 -0.5021 6.6432
Pd -1.6574 -3.4931 1.4644
Pd -3.2838 -4.7626 9.0688
Pd -4.7724 -1.7716 14.2475
Y -6.9296 -0.6854 12.5734
Y -1.8971 -3.3169 6.7919
Y -4.5328 -1.9478 8.9200
Y -1.4620 -1.3940 3.5867
Y 0.4997 -4.5793 3.1385
Y -4.9678 -3.8707 12.1252
```

Output
* energy of formation: -6.022 eV per formula unit
* ρ: 7.17 g cm⁻³
* Fermi-level density of states: 10.5 states/eV per cell
* space group: C2/m (12)



# 2
Density functional theory data (GGA-PBE) for a geometry-optimized LiBi3Ru structure.

```
5
Lattice="5.3328 0.0000 0.0000 0.0000 5.3328 0.0000 0.0000 0.0000 5.3328" Properties=species:S:1:pos:R:3 pbc="T T T"
Bi 0.0000 2.6664 0.0000
Bi 0.0000 0.0000 2.6664
Bi 2.6664 0.0000 0.0000
Li 2.6664 2.6664 2.6664
Ru 0.0000 0.0000 0.0000
```

Output
* energy of formation: 1.661 eV per formula unit
* ρ: 8.05 g cm⁻³
* Fermi-level density of states: 0.9 states/eV per cell
* space group: Pm-3m (221)



# 3
Density functional theory data (GGA-PBE) for a geometry-optimized Pr4CNF2 structure.

```
8
Lattice="-2.4862 1.2490 2.4126 -4.0040 -4.6667 -1.7103 3.7894 -2.1891 5.0384" Properties=species:S:1:pos:R:3 pbc="T T T"
F 0.6516 -0.4700 3.7255
F -0.1073 -3.4279 1.6640
N 0.0000 0.0000 0.0000
Pr -1.3694 -0.9586 1.8957
Pr 1.9262 -2.9067 3.4898
Pr -2.1408 -3.9490 -0.1617
Pr -1.3314 -4.6482 3.8449
C -3.2451 -1.7089 0.3512
```

Output
* energy relative to the elements, uncorrected: -1.716 eV per atom
* ρ: 7.01 g cm⁻³
* Fermi-level density of states: 2.0 states/eV per cell
* space group: P2/m (10)



# 4
Density functional theory data (GGA-PBE) for a geometry-optimized BaY2SiTe structure.

```
5
Lattice="5.7018 0.0000 0.0000 0.0000 5.7802 0.0000 0.0000 0.0000 5.7018" Properties=species:S:1:pos:R:3 pbc="T T T"
Ba 2.8509 2.8901 2.8509
Si 0.0000 2.8901 0.0000
Te 0.0000 0.0000 0.0000
Y 0.0000 0.0000 2.8509
Y 2.8509 0.0000 0.0000
```

Output
* energy relative to the elements, uncorrected: 0.108 eV per atom
* ρ: 4.16 g cm⁻³
* Fermi-level density of states: 6.5 states/eV per cell
* space group: P4/mmm (123)



# 5
Density functional theory data (GGA-PBE) for a geometry-optimized Hf2AlAs structure.

```
4
Lattice="3.5398 0.0000 0.0000 1.7699 3.0656 0.0000 1.7699 1.0219 7.5802" Properties=species:S:1:pos:R:3 pbc="T T T"
As 5.3097 3.0656 7.5666
Hf 1.7699 1.0219 1.6597
Hf 1.7699 1.0219 5.9174
Al 3.5398 2.0437 3.8069
```

Output
* energy of formation: -1.905 eV per formula unit
* ρ: 9.26 g cm⁻³
* Fermi-level density of states: 2.0 states/eV per cell
* space group: R3m (160)



# 6
Density functional theory data (GGA-PBE) for a geometry-optimized K2MgH6Ir structure.

```
10
Lattice="5.1144 0.0000 0.0000 0.0000 5.9182 0.0000 0.0000 -2.9591 5.1253" Properties=species:S:1:pos:R:3 pbc="T T T"
Mg 2.5572 0.0000 0.0000
H 0.9943 4.7029 0.7017
H 0.9943 1.2153 0.7017
H 4.1202 1.7438 4.4237
H 4.1202 0.0000 1.4033
H 4.1202 -1.7438 4.4237
H 0.9943 2.9591 3.7220
K 0.9432 0.0000 3.4169
K 4.1712 2.9591 1.7084
Ir 0.0000 0.0000 0.0000
```

Output
* raw total energy: -3.588 eV/atom
* ρ: 3.22 g cm⁻³
* Fermi-level density of states: 2.7 states/eV per cell
* space group: P-3m1 (164)



# 7
Density functional theory data (GGA-PBE) for a geometry-optimized GdBeAlCu structure.

```
4
Lattice="4.5210 0.0000 0.0000 2.2605 3.9153 0.0000 2.2605 1.3051 3.6913" Properties=species:S:1:pos:R:3 pbc="T T T"
Cu 2.2605 1.3051 0.9228
Gd 0.0000 0.0000 0.0000
Al 4.5210 2.6102 1.8457
Be 6.7814 3.9153 2.7685
```

Output
* energy of formation: -0.738 eV per formula unit
* ρ: 6.53 g cm⁻³
* Fermi-level density of states: 1.6 states/eV per cell
* space group: F-43m (216)



# 8
Density functional theory data (GGA-PBE) for a geometry-optimized MgBe2Zn structure.

```
4
Lattice="-1.7205 -1.0259 4.3178 3.3202 -1.0375 3.2490 -1.2549 3.4522 -3.0271" Properties=species:S:1:pos:R:3 pbc="T T T"
Be -1.0486 0.6467 2.7226
Be 1.5655 -2.0193 7.4052
Mg 0.8151 -1.0514 3.8556
Zn 1.4122 0.7178 1.9063
```

Output
* energy of formation: 1.241 eV per formula unit
* ρ: 3.46 g cm⁻³
* Fermi-level density of states: 1.0 states/eV per cell
* space group: Imm2 (44)



# 9
Density functional theory data (GGA-PBE) for a geometry-optimized ZrIn2 structure.

```
12
Lattice="4.2448 0.0000 0.0000 0.0000 8.4567 -0.0015 0.0000 0.0102 7.8568" Properties=species:S:1:pos:R:3 pbc="T T T"
In 3.1835 5.2860 2.4607
In 3.1836 3.1814 7.8556
In 1.0611 7.4093 5.3939
In 1.0612 5.2855 -0.0003
In 3.1836 1.0576 2.4614
In 1.0613 3.1809 5.3947
In 1.0612 1.0571 0.0004
In 3.1835 7.4098 7.8549
Zr 1.0612 3.1718 2.4857
Zr 3.1836 5.2951 5.3696
Zr 3.1835 1.0668 5.3703
Zr 1.0612 7.4002 2.4850
```

Output
* energy of formation: -0.289 eV per formula unit
* ρ: 7.56 g cm⁻³
* Fermi-level density of states: 3.7 states/eV per cell
* space group: P2_1/m (11)



# 10
Density functional theory data (GGA-PBE) for a geometry-optimized RbInO2 structure.

```
8
Lattice="13.1688 0.0000 -1.3990 3.7573 4.4067 -1.7903 -3.7573 4.4067 1.7903" Properties=species:S:1:pos:R:3 pbc="T T T"
O 5.8468 2.8573 -1.0498
O 8.2874 0.6538 -0.7670
O 12.4312 1.5494 -1.7493
O 1.7030 3.7529 -0.0675
Rb 2.8290 1.1017 -0.1083
Rb 9.4134 3.3050 -0.8078
In 2.8333 5.5081 -0.1097
In 9.4177 7.7119 -0.8092
```

Output
* energy relative to the elements, uncorrected: -1.489 eV per atom
* ρ: 4.78 g cm⁻³
* Fermi-level density of states: 0.0 states/eV per cell
* space group: Fdd2 (43)



# 11
Density functional theory data (GGA-PBE) for a geometry-optimized AcTcBiO6 structure.

```
9
Lattice="-2.5256 3.4315 3.7168 -0.2243 -1.4273 5.4664 4.5324 2.4438 0.8238" Properties=species:S:1:pos:R:3 pbc="T T T"
Bi 0.4330 2.5579 6.5340
O 2.9766 1.0134 4.1267
O 0.3117 0.9824 4.8665
O 1.1149 0.3746 2.2516
O 1.5943 3.3754 4.7283
O -0.2645 2.7568 2.7757
O 2.3646 2.8364 2.0886
Tc 1.3496 1.8899 3.4730
Ac 2.0068 5.8751 4.5406
```

Output
* energy relative to the elements, uncorrected: -1.886 eV per atom
* ρ: 7.25 g cm⁻³
* Fermi-level density of states: 4.3 states/eV per cell
* space group: P312 (149)



# 12
Density functional theory data (GGA-PBE) for a geometry-optimized AcSnAu4 structure.

```
6
Lattice="5.7866 0.0000 0.0000 2.8933 5.0113 0.0000 2.8933 1.6704 4.7247" Properties=species:S:1:pos:R:3 pbc="T T T"
Au 5.7866 3.3409 0.5831
Au 4.3338 4.1796 2.9555
Au 7.2394 4.1796 2.9555
Au 5.7866 1.6634 2.9555
Ac 2.8933 1.6704 1.1812
Sn 0.0000 0.0000 0.0000
```

Output
* energy of formation: -2.698 eV per formula unit
* ρ: 13.74 g cm⁻³
* Fermi-level density of states: 3.5 states/eV per cell
* space group: F-43m (216)



# 13
Density functional theory data (GGA-PBE) for a geometry-optimized FeNiHg3 structure.

```
5
Lattice="4.9457 0.0000 0.0000 0.0000 4.9457 0.0000 0.0000 0.0000 4.9457" Properties=species:S:1:pos:R:3 pbc="T T T"
Ni 0.0000 0.0000 0.0000
Hg 0.0000 2.4728 0.0000
Hg 2.4728 0.0000 0.0000
Hg 0.0000 0.0000 2.4728
Fe 2.4728 2.4728 2.4728
```

Output
* energy of formation: 3.937 eV per formula unit
* ρ: 9.83 g cm⁻³
* Fermi-level density of states: 7.5 states/eV per cell
* space group: Pm-3m (221)